Material: CoNi3
Method: DFT, GGA-PBE
State: optimized geometry

The structure in POSCAR format:
```
CoNi3
1.0
4.324 -0.001 0.000
-1.454 4.073 0.000
0.000 0.000 2.473
Ni Co
3 1
direct
0.000 0.500 0.500
0.500 0.000 0.500
0.500 0.500 0.000
0.000 0.000 0.000
```

electronic total energy: -24.42 eV/cell
space-group type: No. 65
crystal system: orthorhombic
energy of formation: 0.03 eV/f.u.

=====

Material: CoNi2
Method: DFT, GGA-PBE
State: optimized geometry

The structure in POSCAR format:
```
CoNi2
1.0
10.803 0.003 0.000
9.650 4.858 0.000
-10.226 -2.430 2.495
Ni Co
8 4
direct
0.749 0.749 0.000
0.251 0.251 0.000
0.999 0.499 0.500
0.501 0.001 0.500
0.584 0.584 0.000
0.416 0.416 0.000
0.834 0.334 0.500
0.666 0.166 0.500
0.915 0.915 0.000
0.085 0.085 0.000
0.165 0.665 0.500
0.335 0.835 0.500
```

electronic total energy: -74.71 eV/cell
space-group type: No. 141
crystal system: tetragonal
energy of formation: -0.01 eV/f.u.

=====

Material: CoNi2
Method: DFT, GGA-PBE
State: optimized geometry

The structure in POSCAR format:
```
CoNi2
1.0
-0.463 -1.102 3.799
2.867 -2.729 -0.443
1.713 1.686 0.698
Co Ni
1 2
direct
0.000 0.000 0.000
0.000 0.500 0.500
0.500 0.000 0.500
```

electronic total energy: -17.17 eV/cell
space-group type: No. 123
crystal system: tetragonal
energy of formation: 1.50 eV/f.u.

=====

Material: Co2Ni
Method: DFT, GGA-PBE
State: optimized geometry

The structure in POSCAR format:
```
Co2Ni
1.0
3.982 0.000 0.000
-1.991 3.448 0.000
0.000 0.000 2.421
Co Ni
2 1
direct
0.667 0.333 0.429
0.333 0.667 0.571
0.000 0.000 0.000
```

electronic total energy: -19.73 eV/cell
space-group type: No. 164
crystal system: trigonal
energy of formation: 0.27 eV/f.u.